# BaVBO4, relaxed, DFT GGA+U
# volume: 12.34 Å³/atom
# E_tot: -0.2759 hartree per atom
# crystal system: monoclinic
# space-group type: P2_1/m, No. 11
# N(E_F): 0.00 states/eV per cell
# spin magnetization: 4.00 μB/cell
data_BaVBO4
_cell_length_a 4.9029
_cell_length_b 5.3580
_cell_length_c 6.9519
_cell_angle_alpha 90.00
_cell_angle_beta 108.90
_cell_angle_gamma 90.00
_space_group_name_H-M_alt 'P 1'
_space_group_IT_number 1
_space_group_name_Hall 'P 1'
loop_
_atom_site_label
_atom_site_fract_x
_atom_site_fract_y
_atom_site_fract_z
Ba1 0.7092 0.7500 0.9205
Ba2 0.2908 0.2500 0.0795
V1 0.7857 0.7500 0.4567
V2 0.2143 0.2500 0.5433
B1 0.2314 0.7500 0.3408
B2 0.7686 0.2500 0.6592
O1 0.9717 0.4716 0.6856
O2 0.0283 0.9716 0.3144
O3 0.0283 0.5284 0.3144
O4 0.9717 0.0284 0.6856
O5 0.3941 0.7500 0.1908
O6 0.6059 0.2500 0.8092
O7 0.4422 0.7500 0.5431
O8 0.5578 0.2500 0.4569